Entry from Alexandria: HfAs after structural relaxation (PBE-GGA).

Cell and atoms, written as POSCAR:
```
HfAs
1.0
-3.5356 -0.5360 -2.8718
0.6295 -2.9663 3.4409
-3.0332 3.0319 3.1686
Hf As
2 2
Cartesian
-3.0338 0.1177 3.7131 Hf
-2.9055 -0.5881 0.0246 Hf
-1.5172 -1.3982 2.1288 As
-4.4222 0.9278 1.6089 As
```

Values from the calculation:
The density is 8.7 Mg/m³. The value obtained for the total DFT energy (no corrections) is -0.2927 Ha/atom. As for the space-group type: P6_3/mmc, No. 194. As for the formation energy from the elements: -128 kJ/mol of formula units. The calculation puts the spin magnetization at 0.00 μB/cell.